This record from Alexandria via LeMat-Bulk describes a relaxed SnBi2As2 crystal. The functional is GGA-PBE.

Structure (POSCAR):
```
SnBi2As2
1.0
8.5020 0.0000 0.0000
0.0000 8.5020 0.0000
0.0000 0.0000 3.8769
As Bi Sn
4 4 2
Direct
0.1804 0.6804 0.5000 As
0.3196 0.1804 0.5000 As
0.8196 0.3196 0.5000 As
0.6804 0.8196 0.5000 As
0.3518 0.8518 0.0000 Bi
0.1482 0.3518 0.0000 Bi
0.8518 0.6482 0.0000 Bi
0.6482 0.1482 0.0000 Bi
0.0000 0.0000 0.0000 Sn
0.5000 0.5000 0.0000 Sn
```

**Relative energy among the computed polymorphs**: 8.6 kJ/mol of atoms
**DFT total energy**: -3.98 eV/atom
**SG**: No. 127
**ΔH_f (0 K)**: 0.228 eV/atom



This record from Alexandria via LeMat-Bulk describes a relaxed Sn2Bi2As crystal. The functional is GGA-PBE.

Structure (POSCAR):
```
Sn2Bi2As
1.0
-1.0932 4.6026 -5.7246
-6.4786 -3.3317 -1.4415
-2.4832 3.4303 3.2321
Bi As Sn
4 2 4
Direct
0.1519 0.6519 0.5000 Bi
0.3481 0.1519 0.5000 Bi
0.6519 0.8481 0.5000 Bi
0.8481 0.3481 0.5000 Bi
0.5000 0.5000 0.0000 As
0.0000 0.0000 0.0000 As
0.1467 0.3533 0.0000 Sn
0.8533 0.6467 0.0000 Sn
0.3533 0.8533 0.0000 Sn
0.6467 0.1467 0.0000 Sn
```

**Relative energy among the computed polymorphs**: 0.7 kJ/mol of atoms
**DFT total energy**: -3.82 eV/atom
**SG**: No. 127
**ΔH_f (0 K)**: 0.265 eV/atom



This record from Alexandria via LeMat-Bulk describes a relaxed SnBi2As2 crystal. The functional is GGA-PBE.

Structure (POSCAR):
```
SnBi2As2
1.0
-2.5100 -0.0815 -3.0247
-2.9400 -0.8636 2.4630
-4.3257 8.1060 0.8163
As Bi Sn
2 2 1
Direct
0.7500 0.2500 0.5000 As
0.2500 0.7500 0.5000 As
0.3988 0.3988 0.2023 Bi
0.6012 0.6012 0.7977 Bi
0.0000 0.0000 0.0000 Sn
```

**Relative energy among the computed polymorphs**: 4.4 kJ/mol of atoms
**DFT total energy**: -4.03 eV/atom
**SG**: No. 139
**ΔH_f (0 K)**: 0.185 eV/atom